(1)
First-principles (PBE-GGA) data for a relaxed La2RhAu crystal, as listed in the Alexandria database.

## Properties
**E_form**: -0.543 eV/atom
**Size of the total moment**: 0.00 μB/f.u.

Unit cell a=4.376 b=4.376 c=9.955 alpha=90.00 beta=90.00 gamma=90.00
Space group I-4m2 (No. 119)
Asymmetric unit:
La: 0.000 0.000 0.000 x2
La: 0.000 0.500 0.250 x2
Rh: 0.000 0.500 0.750 x2
Au: 0.000 0.000 0.500 x2

---

(2)
First-principles (PBE-GGA) data for a relaxed Mg4Bi3 crystal, as listed in the Alexandria database.

## Properties
**E_form**: -0.127 eV/atom
**Size of the total moment**: 0.00 μB/f.u.

Unit cell a=13.336 b=4.639 c=7.776 alpha=90.00 beta=120.62 gamma=90.00
Space group C2/m (No. 12)
Asymmetric unit:
Mg: 0.146 0.000 0.428 x4
Mg: 0.167 0.500 0.069 x4
Bi: 0.000 0.000 0.000 x2
Bi: 0.150 0.500 0.665 x4

---

(3)
First-principles (PBE-GGA) data for a relaxed NbAlTl2Cr crystal, as listed in the Alexandria database.

## Properties
**E_form**: 1.081 eV/atom
**Size of the total moment**: 2.38 μB/f.u.

Unit cell a=5.588 b=5.588 c=4.596 alpha=90.00 beta=90.00 gamma=90.00
Space group P4/mmm (No. 123)
Asymmetric unit:
Nb: 0.000 0.000 0.000 x1
Al: 0.500 0.500 0.500 x1
Tl: 0.000 0.500 0.000 x2
Cr: 0.000 0.000 0.500 x1